A plane-wave DFT calculation with PBE-GGA was carried out for crystalline Gd2HoCd at its relaxed geometry.

Calculated values
* symmetry: No. 123
* relative energy among the computed polymorphs: 0 meV/atom
* DFT formation energy: -0.1429 eV per atom

```
Gd2HoCd
1.0
3.595 0.000 0.000
0.000 3.595 0.000
0.000 0.000 9.152
Gd Ho Cd
2 1 1
Direct
0.000 0.000 0.229
0.000 0.000 0.771
0.500 0.500 0.500
0.500 0.500 0.000
```

=====

A plane-wave DFT calculation with PBE-GGA was carried out for crystalline TiV3Sn at its relaxed geometry.

Calculated values
* symmetry: No. 221
* relative energy among the computed polymorphs: 0 meV/atom
* DFT formation energy: 0.9567 eV per atom

```
TiV3Sn
1.0
4.453 0.000 0.000
0.000 4.453 0.000
0.000 0.000 4.453
Ti V Sn
1 3 1
Direct
0.000 0.000 0.000
0.000 0.000 0.500
0.000 0.500 0.000
0.500 0.000 0.000
0.500 0.500 0.500
```

=====

A plane-wave DFT calculation with PBE-GGA was carried out for crystalline SmPaIrO6 at its relaxed geometry.

Calculated values
* symmetry: No. 102
* uncorrected formation energy: -2.49 eV/atom

```
SmPaIrO6
1.0
5.047 0.000 0.000
0.000 5.047 0.000
0.000 0.000 10.168
Sm Pa Ir O
2 2 2 12
Direct
0.000 0.000 0.000
0.500 0.500 0.500
0.000 0.000 0.663
0.500 0.500 0.163
0.000 0.000 0.328
0.500 0.500 0.828
0.178 0.178 0.485
0.195 0.195 0.182
0.213 0.213 0.819
0.287 0.713 0.319
0.305 0.695 0.682
0.322 0.678 0.985
0.678 0.322 0.985
0.695 0.305 0.682
0.713 0.287 0.319
0.787 0.787 0.819
0.805 0.805 0.182
0.822 0.822 0.485
```

=====

no.,E_tot (eV/atom)
1,-8.56
2,-6.89
3,-8.35